[1]
! PmGdAlPd, optimized geometry, DFT PBE; values from VASP
&SYSTEM
  ibrav = 0, nat = 4, ntyp = 4
/
ATOMIC_SPECIES
Gd 157.25 Gd.upf
Al 26.98 Al.upf
Pd 106.42 Pd.upf
Pm 145.00 Pm.upf
CELL_PARAMETERS angstrom
-3.056 -1.199 3.972
-4.918 -1.294 -0.832
-1.535 -4.870 0.692
ATOMIC_POSITIONS angstrom
Gd -2.377 -1.841 0.958
Al 0.000 0.000 0.000
Pd -4.755 -3.681 1.916
Pm -7.132 -5.522 2.874
! - Energy of formation from the pure elements: -2.1 eV/f.u.

***

[2]
! GdScAlPd, optimized geometry, DFT PBE; values from VASP
&SYSTEM
  ibrav = 0, nat = 4, ntyp = 4
/
ATOMIC_SPECIES
Sc 44.96 Sc.upf
Gd 157.25 Gd.upf
Al 26.98 Al.upf
Pd 106.42 Pd.upf
CELL_PARAMETERS angstrom
4.938 0.000 0.000
2.469 4.276 0.000
2.469 1.425 4.032
ATOMIC_POSITIONS angstrom
Sc 0.000 0.000 0.000
Gd 4.938 2.851 2.016
Al 7.407 4.276 3.024
Pd 2.469 1.425 1.008
! - Energy of formation from the pure elements: -2.2 eV/f.u.

***

[3]
! SmGdAlPd, optimized geometry, DFT PBE; values from VASP
&SYSTEM
  ibrav = 0, nat = 4, ntyp = 4
/
ATOMIC_SPECIES
Gd 157.25 Gd.upf
Pd 106.42 Pd.upf
Sm 150.36 Sm.upf
Al 26.98 Al.upf
CELL_PARAMETERS angstrom
5.139 0.000 0.000
2.569 4.450 0.000
2.569 1.483 4.196
ATOMIC_POSITIONS angstrom
Gd 2.569 1.483 1.049
Pd 5.139 2.967 2.098
Sm 7.708 4.450 3.147
Al 0.000 0.000 0.000
! - Energy of formation from the pure elements: -2.1 eV/f.u.